DFT (PBE) results for a relaxed PmPr2TlC crystal.

```
PmPr2TlC
1.0
5.0938 0.0000 0.0000
0.0000 5.1759 0.0000
0.0000 0.0000 5.1759
C Pr Pm Tl
1 2 1 1
Direct
0.0000 0.0000 0.0000
0.0000 0.0000 0.5000
0.0000 0.5000 0.0000
0.5000 0.0000 0.0000
0.5000 0.5000 0.5000
```

Values from the calculation:
Formation energy, eV per atom: -0.271
Symmetry: P4/mmm (123)
E_tot, eV/atom: -5.451
Total magnetization, μB per atom: 0.00

---

DFT (PBE) results for a relaxed YTm3Sc2 crystal.

```
YTm3Sc2
1.0
3.3664 0.0000 0.0000
0.0000 9.8002 -0.4765
-1.6832 -2.9295 10.7864
Tm Sc Y
6 4 2
Direct
0.5596 0.4351 0.1191
0.6970 0.7083 0.3940
0.9313 0.2324 0.8625
0.3030 0.2917 0.6060
0.0687 0.7676 0.1375
0.4404 0.5649 0.8809
0.9300 0.8601 0.8599
0.3080 0.6263 0.6161
0.6919 0.3737 0.3839
0.0700 0.1399 0.1401
0.3165 0.9572 0.6329
0.6835 0.0428 0.3671
```

Values from the calculation:
Distance to the lowest polymorph of the same formula, eV/f.u.: 0.000
Formation energy, eV per atom: 0.150
Symmetry: C2/m (12)
E_tot, eV/atom: -5.274
Total magnetization, μB per atom: 0.00

---

DFT (PBE) results for a relaxed Sc2AsH2 crystal.

```
Sc2AsH2
1.0
-0.3613 -3.0669 -1.5431
-0.3271 -1.5138 3.0852
-5.6817 -1.5577 0.5646
Sc As H
2 1 2
Direct
0.6387 0.6387 0.7225
0.3613 0.3613 0.2775
0.0000 0.0000 0.0000
0.2500 0.7500 0.5000
0.7500 0.2500 0.5000
```

Values from the calculation:
Distance to the lowest polymorph of the same formula, eV/f.u.: 0.000
Symmetry: I4/mmm (139)
E_tot, eV/atom: -5.650
Total magnetization, μB per atom: 0.10

---

DFT (PBE) results for a relaxed Ce5NdOs3 crystal.

```
Ce5NdOs3
1.0
7.7768 0.1883 0.1329
2.3100 7.4282 0.1329
3.1466 2.3760 9.5372
Ce Os Nd
10 6 2
Direct
0.7687 0.7687 0.0327
0.2313 0.2313 0.9673
0.3021 0.6979 0.0000
0.4246 0.4246 0.3753
0.6440 0.0355 0.6695
0.6979 0.3021 0.0000
0.3560 0.9645 0.3305
0.0355 0.6440 0.6695
0.9645 0.3560 0.3305
0.5754 0.5754 0.6247
0.3490 0.3490 0.6745
0.6686 0.6686 0.8333
0.3314 0.3314 0.1667
0.0000 0.0000 0.0000
0.6510 0.6510 0.3255
0.0000 0.0000 0.5000
0.8888 0.8888 0.3033
0.1112 0.1112 0.6967
```

Values from the calculation:
Formation energy, eV per atom: -0.050
Symmetry: C2/m (12)
E_tot, eV/atom: -7.620
Total magnetization, μB per atom: 0.32

---

DFT (PBE) results for a relaxed Ca4Ho3PuSe8 crystal.

```
Ca4Ho3PuSe8
1.0
-4.8643 -2.3680 -6.2094
-5.4380 -3.1397 5.4573
2.3274 7.8734 0.6357
Ca Se Ho Pu
4 8 3 1
Direct
0.0000 0.0000 0.0000
0.5000 0.0000 0.5000
0.0000 0.0000 0.5000
0.5000 0.0000 0.0000
0.7486 0.2538 0.4972
0.2558 0.2543 0.0051
0.7476 0.7429 0.4951
0.2524 0.2571 0.5049
0.2507 0.7457 0.9949
0.7493 0.2543 0.0051
0.2514 0.7462 0.5028
0.7442 0.7457 0.9949
0.5000 0.5000 0.0000
0.5000 0.5000 0.5000
0.0000 0.5000 0.5000
0.0000 0.5000 0.0000
```

Values from the calculation:
ΔE_f (raw), eV/f.u.: -29.32
Symmetry: R-3m (166)
E_tot, eV/atom: -5.830
Total magnetization, μB per atom: 0.38

---

DFT (PBE) results for a relaxed KOF crystal.

```
KOF
1.0
-3.0121 1.6393 1.4589
-0.8622 -5.7442 4.6741
5.8810 5.9431 5.4640
O K F
4 4 4
Direct
0.0483 0.5357 0.9519
0.4517 0.0357 0.9519
0.9517 0.4643 0.0481
0.5483 0.9643 0.0481
0.7510 0.9086 0.6394
0.2490 0.0914 0.3606
0.2510 0.5914 0.3606
0.7490 0.4086 0.6394
0.7499 0.3426 0.3654
0.2499 0.1574 0.6346
0.2501 0.6574 0.6346
0.7501 0.8426 0.3654
```

Values from the calculation:
ΔE_f (raw), eV/f.u.: -5.30
Symmetry: P2_1/c (14)
E_tot, eV/atom: -4.408
Total magnetization, μB per atom: 0.36

---

DFT (PBE) results for a relaxed Sc8TlCd2 crystal.

```
Sc8TlCd2
1.0
-2.4620 1.0482 -3.9565
5.7385 -2.7851 -4.3088
-4.6423 -5.5731 4.2953
Sc Cd Tl
8 2 1
Direct
0.6578 0.8751 0.3155
0.1476 0.1476 0.2953
0.0000 0.6977 0.0000
0.3423 0.5596 0.6845
0.3422 0.1249 0.6845
0.0000 0.3023 0.0000
0.6577 0.4404 0.3155
0.8524 0.8524 0.7047
0.1950 0.6950 0.3901
0.8050 0.3050 0.6099
0.5000 0.0000 0.0000
```

Values from the calculation:
Distance to the lowest polymorph of the same formula, eV/f.u.: 0.000
Formation energy, eV per atom: -0.088
Symmetry: Immm (71)
E_tot, eV/atom: -5.074
Total magnetization, μB per atom: 0.32

---

DFT (PBE) results for a relaxed CrAsBr2 crystal.

```
CrAsBr2
1.0
8.0815 0.1829 -0.0332
6.1174 5.2841 0.0332
-6.8507 -3.3796 2.6442
Br Cr As
2 1 1
Direct
0.8872 0.8872 0.0000
0.6128 0.6128 0.0000
0.7500 0.2500 0.5000
0.2500 0.7500 0.5000
```

Values from the calculation:
ΔE_f (raw), eV/f.u.: 0.05
Distance to the lowest polymorph of the same formula, eV/f.u.: 0.720
Symmetry: Immm (71)
E_tot, eV/atom: -4.392
Total magnetization, μB per atom: 0.74

---

DFT (PBE) results for a relaxed KTl2Os crystal.

```
KTl2Os
1.0
-1.1378 7.3517 -4.0476
-5.3224 3.9362 -5.2825
2.5985 -4.1494 6.9106
Os K Tl
1 1 2
Direct
0.2344 0.7344 0.5000
0.4294 0.4294 0.0000
0.7492 0.2492 0.5000
0.0870 0.0870 0.0000
```

Values from the calculation:
Distance to the lowest polymorph of the same formula, eV/f.u.: 0.000
Formation energy, eV per atom: 0.551
Symmetry: Imm2 (44)
E_tot, eV/atom: -3.714
Total magnetization, μB per atom: 0.00

---

DFT (PBE) results for a relaxed LiTb3Pm3Te8 crystal.

```
LiTb3Pm3Te8
1.0
-1.9837 7.4846 4.1599
-5.3559 -3.1157 -6.2345
0.6044 -4.1470 7.7494
Te Li Pm Tb
8 1 3 3
Direct
0.7517 0.0048 0.2565
0.2531 0.0048 0.2565
0.2483 0.9952 0.7435
0.7517 0.5034 0.2565
0.2523 0.5046 0.2569
0.7469 0.9952 0.7435
0.7477 0.4954 0.7431
0.2483 0.4966 0.7435
0.0000 0.0000 0.5000
0.0000 0.5000 0.0000
0.0000 0.0000 0.0000
0.5000 0.5000 0.0000
0.0000 0.5000 0.5000
0.5000 0.5000 0.5000
0.5000 0.0000 0.5000
```

Values from the calculation:
ΔE_f (raw), eV/f.u.: -20.53
Symmetry: R-3m (166)
E_tot, eV/atom: -5.048
Total magnetization, μB per atom: 0.00